SrTl5: optimized geometry, PBE.

a = 6.383 Å, b = 6.383 Å, c = 5.819 Å
α = 90.00°, β = 90.00°, γ = 120.00°
Fractional coordinates of all 6 atoms:
Sr 0.000 0.000 0.000
Tl 0.000 0.500 0.500
Tl 0.333 0.667 0.000
Tl 0.500 0.000 0.500
Tl 0.500 0.500 0.500
Tl 0.667 0.333 0.000

Properties
Crystal system = hexagonal
Excess energy over the best structure of this formula in the dataset = 0.1029 eV/atom
DFT formation energy = -72 meV per atom

***

Ca2CdIn2Pd5: optimized geometry, PBE.

a = 10.320 Å, b = 10.320 Å, c = 3.827 Å
α = 90.00°, β = 90.00°, γ = 90.00°
Fractional coordinates of all 20 atoms:
Ca 0.172 0.328 0.000
Ca 0.328 0.828 0.000
Ca 0.672 0.172 0.000
Ca 0.828 0.672 0.000
Cd 0.000 0.000 0.000
Cd 0.500 0.500 0.000
In 0.127 0.627 0.000
In 0.373 0.127 0.000
In 0.627 0.873 0.000
In 0.873 0.373 0.000
Pd 0.000 0.500 0.500
Pd 0.062 0.804 0.500
Pd 0.196 0.062 0.500
Pd 0.304 0.562 0.500
Pd 0.438 0.304 0.500
Pd 0.500 0.000 0.500
Pd 0.562 0.696 0.500
Pd 0.696 0.438 0.500
Pd 0.804 0.938 0.500
Pd 0.938 0.196 0.500

Properties
Crystal system = tetragonal
DFT formation energy = -529 meV per atom

***

Ti4HO: optimized geometry, PBE.

a = 5.802 Å, b = 5.802 Å, c = 5.802 Å
α = 107.35°, β = 107.35°, γ = 113.80°
Fractional coordinates of all 12 atoms:
Ti 0.209 0.000 0.209
Ti 0.288 0.015 0.726
Ti 0.288 0.562 0.274
Ti 0.312 0.538 0.774
Ti 0.750 0.041 0.291
Ti 0.750 0.459 0.709
Ti 0.765 0.538 0.226
Ti 0.791 0.000 0.791
H 0.202 0.202 0.000
H 0.952 0.452 0.500
O 0.518 0.018 0.500
O 0.768 0.768 0.000

Properties
Crystal system = tetragonal
Excess energy over the best structure of this formula in the dataset = 0.0000 eV/atom

***

AgTe6Pd2: optimized geometry, PBE.

a = 6.125 Å, b = 6.125 Å, c = 11.602 Å
α = 110.17°, β = 110.17°, γ = 40.87°
Fractional coordinates of all 9 atoms:
Ag 0.000 0.000 0.000
Te 0.114 0.114 0.459
Te 0.236 0.236 0.222
Te 0.450 0.450 0.145
Te 0.550 0.550 0.855
Te 0.764 0.764 0.778
Te 0.886 0.886 0.541
Pd 0.328 0.328 0.662
Pd 0.672 0.672 0.338

Properties
Crystal system = monoclinic
Formation energy from raw total energies = -0.178 eV per atom
Excess energy over the best structure of this formula in the dataset = 0.0000 eV/atom

***

For reference, uncorrected energy by record: -2.324, -4.165, -7.694, -3.743 eV per atom.